Crystalline VZnCo2 at its relaxed geometry. Source: the Alexandria database, functional GGA-PBE.

Structure (POSCAR):
```
VZnCo2
1.0
4.4089 -1.4115 -2.5700
-1.1945 4.4726 2.5700
-3.1437 0.0829 4.2598
Co V Zn
2 1 1
Direct
0.0000 0.7666 0.7666
0.0000 0.2334 0.2334
0.0000 0.0000 0.0000
0.0000 0.5000 0.5000
```

space group	Immm
calculated formation energy	0.447	eV/atom
calculated density	7.57	g/cm³
energy	-22.82	eV/cell